1.
Computed, not measured: crystalline In7Bi2Pb2 at its relaxed geometry at the PBE-GGA level of DFT.

Structure (POSCAR):
```
In7Bi2Pb2
1.0
5.6095 0.1625 -2.0264
-2.8408 7.3768 0.0553
0.1989 0.2549 7.8984
In Bi Pb
7 2 2
Direct
0.5000 0.0000 0.0000 In
0.1014 0.2180 0.2180 In
0.3481 0.0905 0.5841 In
0.6519 0.9095 0.4159 In
0.3481 0.5841 0.0905 In
0.8986 0.7820 0.7820 In
0.6519 0.4159 0.9095 In
0.7442 0.3596 0.3596 Bi
0.2558 0.6404 0.6404 Bi
0.0000 0.2184 0.7816 Pb
0.0000 0.7816 0.2184 Pb
```

Values from the calculation:
- Total moment: 0.0 μB/f.u.
- Density of states at the Fermi level: 5.1 states/eV/cell
- Formation energy from the elements: 60 meV/atom
- Calculated total energy: -3.063 eV per atom

***

2.
Computed, not measured: crystalline LaZnHg2 at its relaxed geometry at the PBE-GGA level of DFT.

Structure (POSCAR):
```
LaZnHg2
1.0
5.6027 -0.0786 -0.2457
-2.5923 5.8289 0.0684
0.4180 1.0420 3.2596
La Hg Zn
1 2 1
Direct
0.0000 0.5000 0.5000 La
0.0000 0.0000 0.0000 Hg
0.5000 0.0000 0.5000 Hg
0.5000 0.5000 0.0000 Zn
```

Values from the calculation:
- Total moment: 0.1 μB/f.u.
- Density of states at the Fermi level: 3.8 states/eV/cell
- Formation energy from the elements: -77 meV/atom
- Calculated total energy: -1.778 eV per atom

***

Question: density of states at the Fermi level of number 2 (LaZnHg2)?
Answer: 3.8 states/eV/cell

***

What did the first record say?
Computed, not measured: crystalline In7Bi2Pb2 at its relaxed geometry at the PBE-GGA level of DFT.

Structure (POSCAR):
```
In7Bi2Pb2
1.0
5.6095 0.1625 -2.0264
-2.8408 7.3768 0.0553
0.1989 0.2549 7.8984
In Bi Pb
7 2 2
Direct
0.5000 0.0000 0.0000 In
0.1014 0.2180 0.2180 In
0.3481 0.0905 0.5841 In
0.6519 0.9095 0.4159 In
0.3481 0.5841 0.0905 In
0.8986 0.7820 0.7820 In
0.6519 0.4159 0.9095 In
0.7442 0.3596 0.3596 Bi
0.2558 0.6404 0.6404 Bi
0.0000 0.2184 0.7816 Pb
0.0000 0.7816 0.2184 Pb
```

Values from the calculation:
- Total moment: 0.0 μB/f.u.
- Density of states at the Fermi level: 5.1 states/eV/cell
- Formation energy from the elements: 60 meV/atom
- Calculated total energy: -3.063 eV per atom

***

Please write out number 1 again, unchanged.
Computed, not measured: crystalline In7Bi2Pb2 at its relaxed geometry at the PBE-GGA level of DFT.

Structure (POSCAR):
```
In7Bi2Pb2
1.0
5.6095 0.1625 -2.0264
-2.8408 7.3768 0.0553
0.1989 0.2549 7.8984
In Bi Pb
7 2 2
Direct
0.5000 0.0000 0.0000 In
0.1014 0.2180 0.2180 In
0.3481 0.0905 0.5841 In
0.6519 0.9095 0.4159 In
0.3481 0.5841 0.0905 In
0.8986 0.7820 0.7820 In
0.6519 0.4159 0.9095 In
0.7442 0.3596 0.3596 Bi
0.2558 0.6404 0.6404 Bi
0.0000 0.2184 0.7816 Pb
0.0000 0.7816 0.2184 Pb
```

Values from the calculation:
- Total moment: 0.0 μB/f.u.
- Density of states at the Fermi level: 5.1 states/eV/cell
- Formation energy from the elements: 60 meV/atom
- Calculated total energy: -3.063 eV per atom

***

Question: Among the records above, which one has the lowest formation energy from the elements?
Answer: LaZnHg2